DFT (PBE-GGA) results for a relaxed Sr2NiC2 crystal.

```
Sr2NiC2
1.0
3.297 0.000 0.000
0.000 3.297 0.000
1.648 1.648 8.378
Sr C Ni
2 2 1
direct
0.377 0.377 0.247
0.623 0.623 0.753
0.750 0.250 0.500
0.250 0.750 0.500
0.000 0.000 0.000
```

Summary:
- crystal system = tetragonal
- size of the total moment (μB/f.u.) = 0.00
- formation energy (eV/atom) = 1.5404
- volume (Å³ per cell) = 91.06
- N(E_F) (states/eV per cell) = 3.95
- ΔE to the lowest computed polymorph (meV per atom) = 1329


DFT (PBE-GGA) results for a relaxed Sr2NiC2 crystal.

```
Sr2NiC2
1.0
-5.569 4.065 3.591
3.223 -1.660 6.877
1.760 2.588 -0.200
Sr C Ni
4 4 2
direct
0.351 0.851 0.000
0.851 0.649 0.000
0.649 0.149 0.000
0.149 0.351 0.000
0.154 0.654 0.500
0.654 0.846 0.500
0.846 0.346 0.500
0.346 0.154 0.500
0.000 0.000 0.000
0.500 0.500 0.000
```

Summary:
- crystal system = tetragonal
- size of the total moment (μB/f.u.) = 2.45
- formation energy (eV/atom) = 1.6273
- volume (Å³ per cell) = 189.54
- N(E_F) (states/eV per cell) = 15.60
- ΔE to the lowest computed polymorph (meV per atom) = 1415